Below is a relaxed structure of ZrSbS2F, with properties calculated at the GGA-PBE level.

a = 5.1849 Å, b = 5.1849 Å, c = 3.8984 Å
α = 90.00°, β = 90.00°, γ = 90.00°
With the nearest neighbours (Å) after each atom.
Sites, in units of the cell vectors:
1 Zr 0.0000 0.0000 0.0000  2 F 1.95
2 Sb 0.5000 0.5000 0.0000  8 S 3.24
3 S 0.0000 0.5000 0.5000  2 F 2.59
4 S 0.5000 0.0000 0.5000  2 F 2.59
5 F 0.0000 0.0000 0.5000  2 Zr 1.95

Results
**E_form (uncorrected)**: -445 meV per atom
**Size of the total moment**: 0.00 μB per cell
**Electronic total energy**: -25.0 eV per cell